No. 1
A plane-wave DFT calculation with meta-GGA SCAN was carried out for a crystal of GdTmFe2Ni8 relaxed with PBEsol.

Geometry as POSCAR:
```
GdTmFe2Ni8
1.0
3.886 0.000 0.000
0.000 4.842 0.000
0.000 0.000 8.382
Gd Tm Fe Ni
1 1 2 8
Direct
0.000 0.000 0.000
0.000 0.500 0.500
0.000 0.000 0.335
0.000 0.500 0.832
0.000 0.000 0.664
0.000 0.500 0.169
0.500 0.000 0.500
0.500 0.251 0.747
0.500 0.252 0.253
0.500 0.500 0.001
0.500 0.748 0.253
0.500 0.749 0.747
```

Calculated values
For the final energy, the calculation gives -23.27 eV/atom. The value obtained for the formation energy is -0.249 eV per atom.


No. 2
A plane-wave DFT calculation with meta-GGA SCAN was carried out for a crystal of GdYFe2O6 relaxed with PBEsol.

Geometry as POSCAR:
```
GdYFe2O6
1.0
7.331 0.000 0.000
0.000 5.092 0.000
0.000 0.000 5.477
Gd Y Fe O
2 2 4 12
Direct
0.000 0.230 0.000
0.000 0.770 0.500
0.500 0.272 0.144
0.500 0.728 0.644
0.252 0.249 0.571
0.252 0.751 0.071
0.748 0.249 0.571
0.748 0.751 0.071
0.000 0.339 0.592
0.000 0.661 0.092
0.206 0.059 0.270
0.206 0.941 0.770
0.301 0.443 0.871
0.301 0.557 0.371
0.500 0.152 0.543
0.500 0.848 0.043
0.699 0.443 0.871
0.699 0.557 0.371
0.794 0.059 0.270
0.794 0.941 0.770
```

Calculated values
For the final energy, the calculation gives -18.75 eV/atom. The value obtained for the raw formation energy is -27.18 eV/f.u.


No. 3
A plane-wave DFT calculation with meta-GGA SCAN was carried out for a crystal of GdFe4P12 relaxed with PBEsol.

Geometry as POSCAR:
```
GdFe4P12
1.0
-3.849 3.849 3.849
3.849 -3.849 3.849
3.849 3.849 -3.849
Gd Fe P
1 4 12
Direct
0.000 0.000 0.000
0.000 0.000 0.500
0.000 0.500 0.000
0.500 0.000 0.000
0.500 0.500 0.500
0.152 0.504 0.352
0.152 0.801 0.648
0.199 0.352 0.848
0.352 0.152 0.504
0.352 0.848 0.199
0.496 0.648 0.848
0.504 0.352 0.152
0.648 0.152 0.801
0.648 0.848 0.496
0.801 0.648 0.152
0.848 0.199 0.352
0.848 0.496 0.648
```

Calculated values
For the final energy, the calculation gives -15.65 eV/atom. The value obtained for the formation energy is -0.582 eV per atom.


What is the formula in the first record?
GdTmFe2Ni8